Material: NbMoW2
Method: DFT, PBE
State: optimized geometry

Results
**E above lowest polymorph**: 250 meV/atom
**DOS at the Fermi energy**: 3.93 states/eV/cell
**Volume**: 135 Å³ per cell
**VASP energy**: -11.51 eV per atom

Cell: 5.506 4.525 5.424 Å, 90.00 90.00 90.00°
Sites, in units of the cell vectors:
Nb: 0.250 0.000 0.088
Nb: 0.750 0.000 0.912
Mo: 0.250 0.000 0.590
Mo: 0.750 0.000 0.410
W: 0.002 0.500 0.749
W: 0.498 0.500 0.749
W: 0.502 0.500 0.251
W: 0.998 0.500 0.251

---

Material: NbMoW2
Method: DFT, PBE
State: optimized geometry

Results
**E above lowest polymorph**: 423 meV/atom
**DOS at the Fermi energy**: 11.92 states/eV/cell
**Volume**: 277 Å³ per cell
**VASP energy**: -11.34 eV per atom

Cell: 7.222 3.212 11.929 Å, 90.00 90.00 90.00°
Sites, in units of the cell vectors:
Nb: 0.250 0.250 0.152
Nb: 0.250 0.750 0.652
Nb: 0.750 0.250 0.348
Nb: 0.750 0.750 0.848
Mo: 0.050 0.250 0.910
Mo: 0.450 0.750 0.410
Mo: 0.550 0.250 0.590
Mo: 0.950 0.750 0.090
W: 0.048 0.750 0.304
W: 0.155 0.250 0.467
W: 0.345 0.750 0.967
W: 0.452 0.250 0.804
W: 0.548 0.750 0.196
W: 0.655 0.250 0.033
W: 0.845 0.750 0.533
W: 0.952 0.250 0.696

---

Material: NbMoW
Method: DFT, PBE
State: optimized geometry

Results
**E above lowest polymorph**: 0 meV/atom
**DOS at the Fermi energy**: 1.01 states/eV/cell
**Volume**: 50 Å³ per cell
**VASP energy**: -11.39 eV per atom

Cell: 5.343 5.343 5.343 Å, 145.02 145.02 50.31°
Sites, in units of the cell vectors:
Nb: 0.000 0.000 0.000
Mo: 0.331 0.331 0.000
W: 0.671 0.671 0.000

---

Material: Nb2Mo3W3
Method: DFT, PBE
State: optimized geometry

Results
**E above lowest polymorph**: 364 meV/atom
**DOS at the Fermi energy**: 13.57 states/eV/cell
**Volume**: 271 Å³ per cell
**VASP energy**: -11.15 eV per atom

Cell: 4.728 10.567 5.419 Å, 90.00 91.52 90.00°
Sites, in units of the cell vectors:
Nb: 0.182 0.116 0.379
Nb: 0.182 0.384 0.379
Nb: 0.818 0.616 0.621
Nb: 0.818 0.884 0.621
Mo: 0.129 0.250 0.885
Mo: 0.316 0.628 0.356
Mo: 0.316 0.872 0.356
Mo: 0.684 0.128 0.644
Mo: 0.684 0.372 0.644
Mo: 0.871 0.750 0.115
W: 0.251 0.506 0.873
W: 0.251 0.994 0.873
W: 0.363 0.750 0.857
W: 0.637 0.250 0.143
W: 0.749 0.006 0.127
W: 0.749 0.494 0.127

---

Material: NbMo6W2
Method: DFT, PBE
State: optimized geometry

Results
**E above lowest polymorph**: 33 meV/atom
**DOS at the Fermi energy**: 8.73 states/eV/cell
**Volume**: 152 Å³ per cell
**VASP energy**: -10.78 eV per atom

Cell: 5.202 5.202 6.942 Å, 111.48 111.48 63.60°
Sites, in units of the cell vectors:
Nb: 0.000 0.000 0.000
Mo: 0.198 0.668 0.289
Mo: 0.226 0.226 0.449
Mo: 0.332 0.802 0.711
Mo: 0.668 0.198 0.289
Mo: 0.774 0.774 0.551
Mo: 0.802 0.332 0.711
W: 0.333 0.333 0.873
W: 0.667 0.667 0.127

---

Material: NbMoW3
Method: DFT, PBE
State: optimized geometry

Results
**E above lowest polymorph**: 0 meV/atom
**DOS at the Fermi energy**: 18.56 states/eV/cell
**Volume**: 347 Å³ per cell
**VASP energy**: -11.46 eV per atom

Cell: 7.235 7.235 7.230 Å, 105.44 105.44 94.81°
Sites, in units of the cell vectors:
Nb: 0.082 0.918 0.750
Nb: 0.350 0.650 0.250
Nb: 0.650 0.350 0.750
Nb: 0.918 0.082 0.250
Mo: 0.313 0.390 0.876
Mo: 0.390 0.313 0.376
Mo: 0.610 0.687 0.624
Mo: 0.687 0.610 0.124
W: 0.003 0.364 0.087
W: 0.024 0.768 0.354
W: 0.198 0.556 0.574
W: 0.232 0.976 0.146
W: 0.364 0.003 0.587
W: 0.444 0.802 0.926
W: 0.556 0.198 0.074
W: 0.636 0.997 0.413
W: 0.768 0.024 0.854
W: 0.802 0.444 0.426
W: 0.976 0.232 0.646
W: 0.997 0.636 0.913

---

Material: Nb2Mo8W3
Method: DFT, PBE
State: optimized geometry

Results
**DOS at the Fermi energy**: 10.88 states/eV/cell
**Volume**: 228 Å³ per cell
**VASP energy**: -10.65 eV per atom

Cell: 7.243 7.243 5.238 Å, 90.99 90.99 55.97°
Sites, in units of the cell vectors:
Nb: 0.191 0.191 0.233
Nb: 0.809 0.809 0.767
Mo: 0.195 0.195 0.754
Mo: 0.205 0.563 0.481
Mo: 0.379 0.379 0.979
Mo: 0.437 0.795 0.519
Mo: 0.563 0.205 0.481
Mo: 0.621 0.621 0.021
Mo: 0.795 0.437 0.519
Mo: 0.805 0.805 0.246
W: 0.000 0.000 0.500
W: 0.197 0.803 0.000
W: 0.803 0.197 0.000

---

Material: NbMo6W
Method: DFT, PBE
State: optimized geometry

Results
**E above lowest polymorph**: 0 meV/atom
**DOS at the Fermi energy**: 4.56 states/eV/cell
**Volume**: 132 Å³ per cell
**VASP energy**: -10.75 eV per atom

Cell: 5.627 5.627 5.627 Å, 110.35 110.35 110.35°
Sites, in units of the cell vectors:
Nb: 0.000 0.000 0.000
Mo: 0.250 0.250 0.745
Mo: 0.250 0.745 0.250
Mo: 0.255 0.750 0.750
Mo: 0.745 0.250 0.250
Mo: 0.750 0.255 0.750
Mo: 0.750 0.750 0.255
W: 0.500 0.500 0.500